No. 1
# YTh4C4

A relaxed YTh4C4 crystal (PBE, Alexandria).

Cell and atoms, written as CIF:
```
data_YTh4C4
_chemical_formula_sum 'Y1 Th4 C4'
_cell_length_a 5.362
_cell_length_b 6.466
_cell_length_c 6.466
_cell_angle_alpha 80.09
_cell_angle_beta 65.51
_cell_angle_gamma 65.50
_symmetry_space_group_name_H-M 'P 1'
_symmetry_Int_Tables_number 1
loop_
_symmetry_equiv_pos_as_xyz
'x,y,z'
loop_
_atom_site_label
_atom_site_fract_x
_atom_site_fract_y
_atom_site_fract_z
Th1 0.193 0.202 0.412
Y1 0.000 0.000 0.000
C1 0.697 0.211 0.395
Th2 0.395 0.412 0.798
Th3 0.605 0.588 0.202
C2 0.303 0.789 0.605
C3 0.908 0.395 0.789
Th4 0.807 0.798 0.588
C4 0.092 0.605 0.211
```

Output
Space-group type: I4/m
Crystal system: tetragonal

***

No. 2
# YTh3C8

A relaxed YTh3C8 crystal (PBE, Alexandria).

Cell and atoms, written as CIF:
```
data_YTh3C8
_chemical_formula_sum 'Y1 Th3 C8'
_cell_length_a 6.167
_cell_length_b 6.543
_cell_length_c 6.167
_cell_angle_alpha 65.11
_cell_angle_beta 83.86
_cell_angle_gamma 114.89
_symmetry_space_group_name_H-M 'P 1'
_symmetry_Int_Tables_number 1
loop_
_symmetry_equiv_pos_as_xyz
'x,y,z'
loop_
_atom_site_label
_atom_site_fract_x
_atom_site_fract_y
_atom_site_fract_z
C1 0.087 0.000 0.590
C2 0.410 0.000 0.913
Th1 0.693 0.500 0.807
C3 0.609 0.670 0.391
C4 0.379 0.000 0.130
Th2 0.193 0.500 0.307
C5 0.940 0.330 0.060
C6 0.870 0.000 0.621
Th3 0.494 0.000 0.506
Y1 0.001 0.000 0.999
C7 0.146 0.467 0.854
C8 0.680 0.533 0.320
```

Output
Space-group type: Fmm2
Crystal system: orthorhombic

***

No. 3
# YTh5C4

A relaxed YTh5C4 crystal (PBE, Alexandria).

Cell and atoms, written as CIF:
```
data_YTh5C4
_chemical_formula_sum 'Y1 Th5 C4'
_cell_length_a 3.684
_cell_length_b 7.526
_cell_length_c 8.269
_cell_angle_alpha 102.37
_cell_angle_beta 102.87
_cell_angle_gamma 90.00
_symmetry_space_group_name_H-M 'P 1'
_symmetry_Int_Tables_number 1
loop_
_symmetry_equiv_pos_as_xyz
'x,y,z'
loop_
_atom_site_label
_atom_site_fract_x
_atom_site_fract_y
_atom_site_fract_z
C1 0.997 0.746 0.994
Th1 0.838 0.157 0.675
Th2 0.162 0.843 0.325
Th3 0.841 0.692 0.682
C2 0.333 0.919 0.665
Th4 0.159 0.308 0.318
C3 0.003 0.254 0.006
Th5 0.500 0.500 0.000
Y1 0.500 0.000 0.000
C4 0.667 0.081 0.335
```

Output
Space-group type: C2/m
Crystal system: monoclinic

***

no.,final energy (hartree per atom)
1,-0.30816
2,-0.31101
3,-0.30557